[1]
Entry from Alexandria: AsOs after structural relaxation (PBE).

The structure in CIF format:
```
data_AsOs
_cell_length_a 4.1206
_cell_length_b 4.1206
_cell_length_c 14.4170
_cell_angle_alpha 90.00
_cell_angle_beta 90.00
_cell_angle_gamma 120.00
_symmetry_space_group_name_H-M 'P -3 m 1'
_symmetry_Int_Tables_number 164
_symmetry_space_group_name_Hall '-P 3 2"'
loop_
_atom_site_label
_atom_site_fract_x
_atom_site_fract_y
_atom_site_fract_z
As1 0.0000 0.0000 0.1133
As2 0.3333 0.6667 0.2444
As3 0.3333 0.6667 0.4481
Os1 0.0000 0.0000 0.2908
Os2 0.3333 0.6667 0.6278
Os3 0.3333 0.6667 0.9760
```

Output
The formation energy is 0.495 eV/atom. The calculation puts the spin magnetization at 0.0 μB/cell.

---

[2]
Entry from Alexandria: ZnGaAgPd after structural relaxation (PBE).

The structure in CIF format:
```
data_ZnGaAgPd
_cell_length_a 6.2886
_cell_length_b 6.2886
_cell_length_c 6.2886
_cell_angle_alpha 90.00
_cell_angle_beta 90.00
_cell_angle_gamma 90.00
_symmetry_space_group_name_H-M 'F -4 3 m'
_symmetry_Int_Tables_number 216
_symmetry_space_group_name_Hall 'F -4 2 3'
loop_
_atom_site_label
_atom_site_fract_x
_atom_site_fract_y
_atom_site_fract_z
Zn1 0.0000 0.0000 0.0000
Ga1 0.0000 0.0000 0.5000
Ag1 0.2500 0.2500 0.7500
Pd1 0.2500 0.2500 0.2500
```

Output
The formation energy is -0.272 eV/atom. The calculation puts the spin magnetization at 0.0 μB/cell.

---

[3]
Entry from Alexandria: Sr3Ag4Sn after structural relaxation (PBE).

The structure in CIF format:
```
data_Sr3Ag4Sn
_cell_length_a 4.9087
_cell_length_b 5.7072
_cell_length_c 18.4024
_cell_angle_alpha 90.00
_cell_angle_beta 90.00
_cell_angle_gamma 90.00
_symmetry_space_group_name_H-M 'I m m m'
_symmetry_Int_Tables_number 71
_symmetry_space_group_name_Hall '-I 2 2'
loop_
_atom_site_label
_atom_site_fract_x
_atom_site_fract_y
_atom_site_fract_z
Sr1 0.0000 0.0000 0.0000
Sr2 0.0000 0.5000 0.2025
Ag1 0.0000 0.2639 0.3729
Sn1 0.0000 0.0000 0.5000
```

Output
The formation energy is -0.178 eV/atom. The calculation puts the spin magnetization at 0.0 μB/cell.

---

[4]
Entry from Alexandria: YF3 after structural relaxation (PBE).

The structure in CIF format:
```
data_YF3
_cell_length_a 6.3050
_cell_length_b 6.9479
_cell_length_c 4.6458
_cell_angle_alpha 90.00
_cell_angle_beta 90.00
_cell_angle_gamma 90.00
_symmetry_space_group_name_H-M 'P n m a'
_symmetry_Int_Tables_number 62
_symmetry_space_group_name_Hall '-P 2ac 2n'
loop_
_atom_site_label
_atom_site_fract_x
_atom_site_fract_y
_atom_site_fract_z
Y1 0.1343 0.2500 0.0461
F1 0.0303 0.7500 0.3853
F2 0.1621 0.5635 0.8581
```

Output
The calculation puts the spin magnetization at 0.0 μB/cell. The electronic total energy is -114.1 eV for the cell shown.

---

[5]
Entry from Alexandria: NaLaSeO6 after structural relaxation (PBE).

The structure in CIF format:
```
data_NaLaSeO6
_cell_length_a 5.5113
_cell_length_b 5.5113
_cell_length_c 4.9000
_cell_angle_alpha 90.00
_cell_angle_beta 90.00
_cell_angle_gamma 120.00
_symmetry_space_group_name_H-M 'P 3 1 2'
_symmetry_Int_Tables_number 149
_symmetry_space_group_name_Hall 'P 3 2'
loop_
_atom_site_label
_atom_site_fract_x
_atom_site_fract_y
_atom_site_fract_z
Na1 0.0000 0.0000 0.0000
La1 0.6667 0.3333 0.5000
Se1 0.3333 0.6667 0.0000
O1 0.0553 0.4073 0.2088
```

Output
The calculation puts the spin magnetization at 2.0 μB/cell. The electronic total energy is -51.7 eV for the cell shown.

---

[6]
Entry from Alexandria: BaFe3Br9 after structural relaxation (PBE).

The structure in CIF format:
```
data_BaFe3Br9
_cell_length_a 19.2627
_cell_length_b 9.9913
_cell_length_c 13.8240
_cell_angle_alpha 90.00
_cell_angle_beta 130.95
_cell_angle_gamma 90.00
_symmetry_space_group_name_H-M 'C 1 c 1'
_symmetry_Int_Tables_number 9
_symmetry_space_group_name_Hall 'C -2yc'
loop_
_atom_site_label
_atom_site_fract_x
_atom_site_fract_y
_atom_site_fract_z
Ba1 0.0000 0.0623 0.0000
Fe1 0.1791 0.3563 0.3777
Fe2 0.3153 0.1669 0.7233
Fe3 0.4860 0.1294 0.2864
Br1 0.0358 0.3818 0.9946
Br2 0.0651 0.1853 0.2732
Br3 0.1140 0.4185 0.7940
Br4 0.2080 0.0508 0.7243
Br5 0.2424 0.3741 0.5988
Br6 0.2942 0.3290 0.3631
Br7 0.3615 0.0263 0.6288
Br8 0.4411 0.3576 0.2198
Br9 0.4436 0.2463 0.9316
```

Output
The calculation puts the spin magnetization at 52.0 μB/cell. The electronic total energy is -212.5 eV for the cell shown.

---

[7]
Entry from Alexandria: PrCo5As3 after structural relaxation (PBE).

The structure in CIF format:
```
data_PrCo5As3
_cell_length_a 3.7549
_cell_length_b 11.9055
_cell_length_c 11.7810
_cell_angle_alpha 90.00
_cell_angle_beta 90.00
_cell_angle_gamma 90.00
_symmetry_space_group_name_H-M 'C m c m'
_symmetry_Int_Tables_number 63
_symmetry_space_group_name_Hall '-C 2c 2'
loop_
_atom_site_label
_atom_site_fract_x
_atom_site_fract_y
_atom_site_fract_z
Pr1 0.0000 0.1646 0.2500
Co1 0.0000 0.0000 0.0000
Co2 0.0000 0.1939 0.5684
Co3 0.0000 0.4468 0.1420
As1 0.0000 0.1070 0.7500
As2 0.0000 0.3806 0.5423
```

Output
The formation energy is -0.468 eV/atom. The calculation puts the spin magnetization at 0.0 μB/cell.

---

Number 1: DOS at the Fermi energy 10.0 states/eV/cell. Number 2: DOS at the Fermi energy 7.3 states/eV/cell. Number 3: DOS at the Fermi energy 8.4 states/eV/cell. Number 4: DOS at the Fermi energy 0.0 states/eV/cell. Number 5: DOS at the Fermi energy 5.4 states/eV/cell. Number 6: DOS at the Fermi energy 45.7 states/eV/cell. Number 7: DOS at the Fermi energy 33.8 states/eV/cell.